(1)
The following is a PBE calculation of a relaxed structure of CdMoP2, from Alexandria via LeMat-Bulk.

POSCAR file:
```
CdMoP2
1.0
4.530 0.000 0.000
2.265 3.923 0.000
2.265 1.308 3.699
P Mo Cd
2 1 1
direct
0.000 0.000 0.000 P
0.250 0.250 0.250 P
0.750 0.750 0.750 Mo
0.500 0.500 0.500 Cd
```

Properties
- DOS(E_F): 4.08 states/eV/cell
- Formation energy from the elements: 79.88 kJ per mole of atoms
- Symmetry: F-43m, No. 216



(2)
The following is a PBE calculation of a relaxed structure of CdMoP2, from Alexandria via LeMat-Bulk.

POSCAR file:
```
CdMoP2
1.0
-1.458 -3.688 2.248
2.551 0.346 2.222
-1.295 2.738 3.652
Mo P Cd
1 2 1
direct
0.500 0.924 0.776 Mo
0.000 0.819 0.988 P
0.500 0.216 0.194 P
0.000 0.541 0.542 Cd
```

Properties
- DOS(E_F): 1.70 states/eV/cell
- Formation energy from the elements: 13.29 kJ per mole of atoms
- Symmetry: Pm, No. 6



(3)
The following is a PBE calculation of a relaxed structure of CdMoP2, from Alexandria via LeMat-Bulk.

POSCAR file:
```
CdMoP2
1.0
-4.548 3.161 -1.821
-1.208 -4.051 -4.015
-6.098 -3.022 0.651
Cd P Mo
2 4 2
direct
0.000 0.000 0.000 Cd
0.750 0.250 0.500 Cd
0.581 0.125 0.250 P
0.375 0.419 0.750 P
0.875 0.831 0.750 P
0.169 0.625 0.250 P
0.500 0.500 0.000 Mo
0.250 0.750 0.500 Mo
```

Properties
- DOS(E_F): 5.65 states/eV/cell
- Formation energy from the elements: 13.10 kJ per mole of atoms
- Symmetry: I-42d, No. 122



(4)
The following is a PBE calculation of a relaxed structure of CdMo4P, from Alexandria via LeMat-Bulk.

POSCAR file:
```
CdMo4P
1.0
-3.274 -2.761 -3.088
-5.149 1.168 -0.099
-2.115 2.249 -4.284
Mo P Cd
4 1 1
direct
0.374 0.374 0.879 Mo
0.374 0.374 0.374 Mo
0.879 0.374 0.374 Mo
0.374 0.879 0.374 Mo
0.750 0.750 0.750 P
0.000 0.000 0.000 Cd
```

Properties
- DOS(E_F): 6.55 states/eV/cell
- Formation energy from the elements: 65.21 kJ per mole of atoms
- Symmetry: F-43m, No. 216